[1]
A geometry-optimized KTe2PbN structure, computed with PBE-GGA.

The calculation puts the total moment at 2.47 μB/f.u. The uncorrected formation energy comes out at 0.512 eV per atom. For the energy, the calculation gives -3.370 eV/atom.

Unit cell a=6.124 b=6.124 c=4.618 alpha=90.00 beta=90.00 gamma=90.00
Atoms (fractional coordinates):
K1 0.000 0.000 0.000
Te1 0.000 0.500 0.500
Te2 0.500 0.000 0.500
Pb1 0.500 0.500 0.500
N1 0.500 0.500 0.000

[2]
A geometry-optimized Pm3Pr3Co4 structure, computed with PBE-GGA.

The calculation puts the formation energy at 0.003 eV per atom. The calculation puts the total moment at 0.00 μB/f.u. For the energy, the calculation gives -5.698 eV/atom.

Unit cell a=4.276 b=7.476 c=7.476 alpha=89.68 beta=90.00 gamma=90.00
Atoms (fractional coordinates):
Pm1 0.000 0.000 0.000
Pm2 0.000 0.502 0.845
Pm3 0.000 0.845 0.502
Pr1 0.000 0.343 0.343
Pr2 0.500 0.174 0.674
Pr3 0.500 0.674 0.174
Co1 0.500 0.062 0.275
Co2 0.500 0.275 0.062
Co3 0.500 0.573 0.573
Co4 0.500 0.784 0.784

[3]
A geometry-optimized Sc2ZnGa3Cu4 structure, computed with PBE-GGA.

The calculation puts the formation energy at -0.301 eV per atom. The calculation puts the total moment at 0.00 μB/f.u. For the energy, the calculation gives -4.241 eV/atom.

Unit cell a=3.840 b=3.840 c=10.877 alpha=90.00 beta=90.00 gamma=90.00
Atoms (fractional coordinates):
Sc1 0.000 0.500 0.249
Sc2 0.500 0.000 0.751
Zn1 0.500 0.500 0.000
Ga1 0.000 0.000 0.000
Ga2 0.000 0.500 0.640
Ga3 0.500 0.000 0.360
Cu1 0.000 0.000 0.500
Cu2 0.000 0.500 0.855
Cu3 0.500 0.000 0.145
Cu4 0.500 0.500 0.500

[4]
A geometry-optimized PuZr2Be structure, computed with PBE-GGA.

The calculation puts the formation energy at 0.204 eV per atom. The calculation puts the total moment at 5.80 μB/f.u. For the energy, the calculation gives -8.584 eV/atom.

Unit cell a=9.209 b=9.209 c=9.209 alpha=20.44 beta=20.44 gamma=20.44
Atoms (fractional coordinates):
Pu1 0.000 0.000 0.000
Zr1 0.234 0.234 0.234
Zr2 0.766 0.766 0.766
Be1 0.500 0.500 0.500

[5]
A geometry-optimized SmDy3Y structure, computed with PBE-GGA.

The calculation puts the formation energy at 0.028 eV per atom. The calculation puts the total moment at 0.00 μB/f.u. For the energy, the calculation gives -4.970 eV/atom.

Unit cell a=8.727 b=3.552 c=10.942 alpha=90.00 beta=108.05 gamma=90.00
Atoms (fractional coordinates):
Sm1 0.098 0.250 0.152
Sm2 0.902 0.750 0.848
Dy1 0.310 0.750 0.435
Dy2 0.315 0.750 0.973
Dy3 0.490 0.750 0.746
Dy4 0.510 0.250 0.254
Dy5 0.685 0.250 0.027
Dy6 0.690 0.250 0.565
Y1 0.119 0.250 0.653
Y2 0.881 0.750 0.347

[6]
A geometry-optimized BaNa2Ni2 structure, computed with PBE-GGA.

The calculation puts the formation energy at 0.497 eV per atom. The calculation puts the total moment at 0.00 μB/f.u. For the energy, the calculation gives -2.728 eV/atom.

Unit cell a=8.384 b=8.384 c=3.231 alpha=90.00 beta=90.00 gamma=90.00
Atoms (fractional coordinates):
Ba1 0.000 0.000 0.000
Ba2 0.500 0.500 0.000
Na1 0.119 0.381 0.500
Na2 0.381 0.881 0.500
Na3 0.619 0.119 0.500
Na4 0.881 0.619 0.500
Ni1 0.180 0.680 0.000
Ni2 0.320 0.180 0.000
Ni3 0.680 0.820 0.000
Ni4 0.820 0.320 0.000